(1)
Here is a relaxed structure of LaThPdPt from Alexandria. Energies are from PBE-GGA.

Properties
As for the crystal system: orthorhombic. The calculation puts the density of states at the Fermi level at 0.7295 states/eV/atom.

a b c (Å): 4.4715 3.9146 11.5034
angles (deg): 90.00 90.00 90.00
Space group Amm2 (No. 38)
Inequivalent atoms, fractional coordinates:
La  0.0000  0.0000  0.0000 (multiplicity 2)
Th  0.5000  0.0000  0.2700 (multiplicity 2)
Pd  0.5000  0.0000  0.5490 (multiplicity 2)
Pt  0.0000  0.0000  0.7352 (multiplicity 2)



(2)
Here is a relaxed structure of LaThPdPt from Alexandria. Energies are from PBE-GGA.

Properties
As for the crystal system: cubic. The calculation puts the density of states at the Fermi level at 0.9172 states/eV/atom.

a b c (Å): 7.2857 7.2857 7.2857
angles (deg): 90.00 90.00 90.00
Space group F-43m (No. 216)
Inequivalent atoms, fractional coordinates:
La  0.0000  0.0000  0.0000 (multiplicity 4)
Th  0.0000  0.0000  0.5000 (multiplicity 4)
Pd  0.2500  0.2500  0.7500 (multiplicity 4)
Pt  0.2500  0.2500  0.2500 (multiplicity 4)



Stability summary - winner: (1); margin: 15.1 kJ/mol of atoms.



(1)
Here is a relaxed structure of LaTmPdPt from Alexandria. Energies are from PBE-GGA.

Properties
As for the crystal system: orthorhombic. The calculation puts the density of states at the Fermi level at 0.6416 states/eV/atom.

a b c (Å): 4.5618 3.8194 10.7892
angles (deg): 90.00 90.00 90.00
Space group Amm2 (No. 38)
Inequivalent atoms, fractional coordinates:
La  0.0000  0.0000  0.0000 (multiplicity 2)
Tm  0.5000  0.0000  0.2727 (multiplicity 2)
Pd  0.5000  0.0000  0.5527 (multiplicity 2)
Pt  0.0000  0.0000  0.7290 (multiplicity 2)



(2)
Here is a relaxed structure of LaTmPdPt from Alexandria. Energies are from PBE-GGA.

Properties
As for the crystal system: cubic. The calculation puts the density of states at the Fermi level at 0.8075 states/eV/atom.

a b c (Å): 7.1396 7.1396 7.1396
angles (deg): 90.00 90.00 90.00
Space group F-43m (No. 216)
Inequivalent atoms, fractional coordinates:
La  0.0000  0.0000  0.0000 (multiplicity 4)
Tm  0.0000  0.0000  0.5000 (multiplicity 4)
Pd  0.2500  0.2500  0.7500 (multiplicity 4)
Pt  0.2500  0.2500  0.2500 (multiplicity 4)



Stability summary - winner: (1); margin: 7.9 kJ/mol of atoms.



(1)
Here is a relaxed structure of LaPuPdRh from Alexandria. Energies are from PBE-GGA.

Properties
As for the crystal system: cubic. The calculation puts the density of states at the Fermi level at 3.2558 states/eV/atom.

a b c (Å): 7.1097 7.1097 7.1097
angles (deg): 90.00 90.00 90.00
Space group F-43m (No. 216)
Inequivalent atoms, fractional coordinates:
La  0.0000  0.0000  0.0000 (multiplicity 4)
Pu  0.0000  0.0000  0.5000 (multiplicity 4)
Pd  0.2500  0.2500  0.7500 (multiplicity 4)
Rh  0.2500  0.2500  0.2500 (multiplicity 4)



(2)
Here is a relaxed structure of LaPuPdRh from Alexandria. Energies are from PBE-GGA.

Properties
As for the crystal system: orthorhombic. The calculation puts the density of states at the Fermi level at 2.9810 states/eV/atom.

a b c (Å): 4.1878 3.9487 11.3422
angles (deg): 90.00 90.00 90.00
Space group Amm2 (No. 38)
Inequivalent atoms, fractional coordinates:
La  0.0000  0.0000  0.0000 (multiplicity 2)
Pu  0.5000  0.0000  0.7217 (multiplicity 2)
Pd  0.5000  0.0000  0.4339 (multiplicity 2)
Rh  0.0000  0.0000  0.2551 (multiplicity 2)



Stability summary - winner: (2); margin: 6.8 kJ/mol of atoms.



(1)
Here is a relaxed structure of RbLa3Pd from Alexandria. Energies are from PBE-GGA.

Properties
As for the crystal system: cubic. The calculation puts the density of states at the Fermi level at 2.7036 states/eV/atom.

a b c (Å): 5.9304 5.9304 5.9304
angles (deg): 90.00 90.00 90.00
Space group Pm-3m (No. 221)
Inequivalent atoms, fractional coordinates:
Rb  0.0000  0.0000  0.0000 (multiplicity 1)
La  0.0000  0.5000  0.5000 (multiplicity 3)
Pd  0.5000  0.5000  0.5000 (multiplicity 1)



(2)
Here is a relaxed structure of RbLa3Pd from Alexandria. Energies are from PBE-GGA.

Properties
As for the crystal system: cubic. The calculation puts the density of states at the Fermi level at 0.9226 states/eV/atom.

a b c (Å): 5.5942 5.5942 5.5942
angles (deg): 90.00 90.00 90.00
Space group Pm-3m (No. 221)
Inequivalent atoms, fractional coordinates:
Rb  0.0000  0.0000  0.0000 (multiplicity 1)
La  0.0000  0.0000  0.5000 (multiplicity 3)
Pd  0.5000  0.5000  0.5000 (multiplicity 1)



Stability summary - winner: (1); margin: 112.8 kJ/mol of atoms.



(1)
Here is a relaxed structure of RbLaPd2 from Alexandria. Energies are from PBE-GGA.

Properties
As for the crystal system: cubic. The calculation puts the density of states at the Fermi level at 0.0082 states/eV/atom.

a b c (Å): 7.4781 7.4781 7.4781
angles (deg): 90.00 90.00 90.00
Space group Fm-3m (No. 225)
Inequivalent atoms, fractional coordinates:
Rb  0.0000  0.0000  0.0000 (multiplicity 4)
La  0.0000  0.0000  0.5000 (multiplicity 4)
Pd  0.2500  0.2500  0.2500 (multiplicity 8)



(2)
Here is a relaxed structure of RbLaPd2 from Alexandria. Energies are from PBE-GGA.

Properties
As for the crystal system: tetragonal. The calculation puts the density of states at the Fermi level at 0.1679 states/eV/atom.

a b c (Å): 8.1953 8.1953 6.9458
angles (deg): 90.00 90.00 90.00
Space group I-42d (No. 122)
Inequivalent atoms, fractional coordinates:
Rb  0.0000  0.0000  0.0000 (multiplicity 4)
La  0.0000  0.0000  0.5000 (multiplicity 4)
Pd  0.2114  0.2500  0.6250 (multiplicity 8)



Stability summary - winner: (1); margin: 8.9 kJ/mol of atoms.



(1)
Here is a relaxed structure of RbLa2Pd from Alexandria. Energies are from PBE-GGA.

Properties
As for the crystal system: cubic. The calculation puts the density of states at the Fermi level at 1.8669 states/eV/atom.

a b c (Å): 7.8491 7.8491 7.8491
angles (deg): 90.00 90.00 90.00
Space group Fm-3m (No. 225)
Inequivalent atoms, fractional coordinates:
Rb  0.0000  0.0000  0.0000 (multiplicity 4)
La  0.2500  0.2500  0.2500 (multiplicity 8)
Pd  0.0000  0.0000  0.5000 (multiplicity 4)



(2)
Here is a relaxed structure of RbLa2Pd from Alexandria. Energies are from PBE-GGA.

Properties
As for the crystal system: tetragonal. The calculation puts the density of states at the Fermi level at 1.4007 states/eV/atom.

a b c (Å): 9.1260 9.1260 7.4877
angles (deg): 90.00 90.00 90.00
Space group I-42d (No. 122)
Inequivalent atoms, fractional coordinates:
Rb  0.0000  0.0000  0.0000 (multiplicity 4)
La  0.1619  0.2500  0.6250 (multiplicity 8)
Pd  0.0000  0.0000  0.5000 (multiplicity 4)



Stability summary - winner: (2); margin: 13.4 kJ/mol of atoms.



(1)
Here is a relaxed structure of LaPd2Rh2 from Alexandria. Energies are from PBE-GGA.

Properties
As for the crystal system: tetragonal. The calculation puts the density of states at the Fermi level at 1.6194 states/eV/atom.

a b c (Å): 4.0522 4.0522 11.7509
angles (deg): 90.00 90.00 90.00
Space group I4/mmm (No. 139)
Inequivalent atoms, fractional coordinates:
La  0.0000  0.0000  0.0000 (multiplicity 2)
Pd  0.0000  0.5000  0.2500 (multiplicity 4)
Rh  0.0000  0.0000  0.3977 (multiplicity 4)



(2)
Here is a relaxed structure of LaPd2Rh2 from Alexandria. Energies are from PBE-GGA.

Properties
As for the crystal system: tetragonal. The calculation puts the density of states at the Fermi level at 0.9723 states/eV/atom.

a b c (Å): 7.6915 7.6915 3.0196
angles (deg): 90.00 90.00 90.00
Space group P4/mbm (No. 127)
Inequivalent atoms, fractional coordinates:
La  0.0000  0.0000  0.0000 (multiplicity 2)
Pd  0.1259  0.3741  0.0000 (multiplicity 4)
Rh  0.1731  0.6731  0.5000 (multiplicity 4)



Stability summary - winner: (1); margin: 6.8 kJ/mol of atoms.



(1)
Here is a relaxed structure of LaPdRh3 from Alexandria. Energies are from PBE-GGA.

Properties
As for the crystal system: cubic. The calculation puts the density of states at the Fermi level at 2.0326 states/eV/atom.

a b c (Å): 4.7985 4.7985 4.7985
angles (deg): 90.00 90.00 90.00
Space group Pm-3m (No. 221)
Inequivalent atoms, fractional coordinates:
La  0.0000  0.0000  0.0000 (multiplicity 1)
Pd  0.5000  0.5000  0.5000 (multiplicity 1)
Rh  0.0000  0.5000  0.5000 (multiplicity 3)



(2)
Here is a relaxed structure of LaPdRh3 from Alexandria. Energies are from PBE-GGA.

Properties
As for the crystal system: cubic. The calculation puts the density of states at the Fermi level at 1.9316 states/eV/atom.

a b c (Å): 4.8265 4.8265 4.8265
angles (deg): 90.00 90.00 90.00
Space group Pm-3m (No. 221)
Inequivalent atoms, fractional coordinates:
La  0.0000  0.0000  0.0000 (multiplicity 1)
Pd  0.5000  0.5000  0.5000 (multiplicity 1)
Rh  0.0000  0.0000  0.5000 (multiplicity 3)



Stability summary - winner: (1); margin: 63.1 kJ/mol of atoms.



(1)
Here is a relaxed structure of La2PdRh2 from Alexandria. Energies are from PBE-GGA.

Properties
As for the crystal system: tetragonal. The calculation puts the density of states at the Fermi level at 0.3835 states/eV/atom.

a b c (Å): 7.4865 7.4865 3.9384
angles (deg): 90.00 90.00 90.00
Space group P4/mbm (No. 127)
Inequivalent atoms, fractional coordinates:
La  0.1787  0.3213  0.0000 (multiplicity 4)
Pd  0.0000  0.0000  0.5000 (multiplicity 2)
Rh  0.1322  0.6322  0.5000 (multiplicity 4)



(2)
Here is a relaxed structure of La2PdRh2 from Alexandria. Energies are from PBE-GGA.

Properties
As for the crystal system: orthorhombic. The calculation puts the density of states at the Fermi level at 0.5548 states/eV/atom.

a b c (Å): 4.6375 5.7450 8.2413
angles (deg): 90.00 90.00 90.00
Space group Immm (No. 71)
Inequivalent atoms, fractional coordinates:
La  0.0000  0.0000  0.2059 (multiplicity 4)
Pd  0.0000  0.5000  0.0000 (multiplicity 2)
Rh  0.0000  0.2597  0.5000 (multiplicity 4)



Stability summary - winner: (2); margin: 3.5 kJ/mol of atoms.



(1)
Here is a relaxed structure of La3PdRh from Alexandria. Energies are from PBE-GGA.

Properties
As for the crystal system: triclinic. The calculation puts the density of states at the Fermi level at 1.0302 states/eV/atom.

a b c (Å): 6.2958 6.6754 7.7281
angles (deg): 78.73 89.05 64.33
Space group P-1 (No. 2)
Inequivalent atoms, fractional coordinates:
La  0.0655  0.1672  0.1541 (multiplicity 2)
La  0.2655  0.1915  0.6521 (multiplicity 2)
La  0.4156  0.5013  0.2324 (multiplicity 2)
Pd  0.2035  0.7974  0.4901 (multiplicity 2)
Rh  0.3992  0.8573  0.9616 (multiplicity 2)



(2)
Here is a relaxed structure of La3PdRh from Alexandria. Energies are from PBE-GGA.

Properties
As for the crystal system: cubic. The calculation puts the density of states at the Fermi level at 1.1032 states/eV/atom.

a b c (Å): 5.4846 5.4846 5.4846
angles (deg): 90.00 90.00 90.00
Space group Pm-3m (No. 221)
Inequivalent atoms, fractional coordinates:
La  0.0000  0.0000  0.5000 (multiplicity 3)
Pd  0.5000  0.5000  0.5000 (multiplicity 1)
Rh  0.0000  0.0000  0.0000 (multiplicity 1)



(3)
Here is a relaxed structure of La3PdRh from Alexandria. Energies are from PBE-GGA.

Properties
As for the crystal system: monoclinic. The calculation puts the density of states at the Fermi level at 0.8965 states/eV/atom.

a b c (Å): 9.0607 7.6974 8.4783
angles (deg): 90.00 105.29 90.00
Space group P2_1/c (No. 14)
Inequivalent atoms, fractional coordinates:
La  0.0679  0.0031  0.2228 (multiplicity 4)
La  0.3058  0.1520  0.6184 (multiplicity 4)
La  0.3574  0.6884  0.5059 (multiplicity 4)
Pd  0.0522  0.6851  0.0220 (multiplicity 4)
Rh  0.4046  0.0356  0.3122 (multiplicity 4)



Stability summary - winner: (3); margin: 2.1 kJ/mol of atoms.



(1)
Here is a relaxed structure of LaSmPdRh from Alexandria. Energies are from PBE-GGA.

Properties
As for the crystal system: cubic. The calculation puts the density of states at the Fermi level at 0.6777 states/eV/atom.

a b c (Å): 7.1705 7.1705 7.1705
angles (deg): 90.00 90.00 90.00
Space group F-43m (No. 216)
Inequivalent atoms, fractional coordinates:
La  0.0000  0.0000  0.0000 (multiplicity 4)
Sm  0.0000  0.0000  0.5000 (multiplicity 4)
Pd  0.2500  0.2500  0.2500 (multiplicity 4)
Rh  0.2500  0.2500  0.7500 (multiplicity 4)



(2)
Here is a relaxed structure of LaSmPdRh from Alexandria. Energies are from PBE-GGA.

Properties
As for the crystal system: orthorhombic. The calculation puts the density of states at the Fermi level at 0.6525 states/eV/atom.

a b c (Å): 4.5598 3.8864 10.7577
angles (deg): 90.00 90.00 90.00
Space group Amm2 (No. 38)
Inequivalent atoms, fractional coordinates:
La  0.0000  0.0000  0.0000 (multiplicity 2)
Sm  0.5000  0.0000  0.7219 (multiplicity 2)
Pd  0.5000  0.0000  0.4401 (multiplicity 2)
Rh  0.0000  0.0000  0.2613 (multiplicity 2)



Stability summary - winner: (2); margin: 6.0 kJ/mol of atoms.



(1)
Here is a relaxed structure of La3PdRu from Alexandria. Energies are from PBE-GGA.

Properties
As for the crystal system: cubic. The calculation puts the density of states at the Fermi level at 0.6542 states/eV/atom.

a b c (Å): 5.4258 5.4258 5.4258
angles (deg): 90.00 90.00 90.00
Space group Pm-3m (No. 221)
Inequivalent atoms, fractional coordinates:
La  0.0000  0.0000  0.5000 (multiplicity 3)
Pd  0.5000  0.5000  0.5000 (multiplicity 1)
Ru  0.0000  0.0000  0.0000 (multiplicity 1)



(2)
Here is a relaxed structure of La3PdRu from Alexandria. Energies are from PBE-GGA.

Properties
As for the crystal system: monoclinic. The calculation puts the density of states at the Fermi level at 0.8274 states/eV/atom.

a b c (Å): 8.9122 7.6055 8.6565
angles (deg): 90.00 106.74 90.00
Space group P2_1/c (No. 14)
Inequivalent atoms, fractional coordinates:
La  0.0411  0.0118  0.2185 (multiplicity 4)
La  0.2769  0.6560  0.1036 (multiplicity 4)
La  0.3465  0.1892  0.0023 (multiplicity 4)
Pd  0.4095  0.5359  0.8194 (multiplicity 4)
Ru  0.0638  0.1919  0.5170 (multiplicity 4)



(3)
Here is a relaxed structure of La3PdRu from Alexandria. Energies are from PBE-GGA.

Properties
As for the crystal system: triclinic. The calculation puts the density of states at the Fermi level at 0.8449 states/eV/atom.

a b c (Å): 6.4192 6.5274 7.7150
angles (deg): 78.56 89.46 64.63
Space group P-1 (No. 2)
Inequivalent atoms, fractional coordinates:
La  0.0646  0.1582  0.1532 (multiplicity 2)
La  0.2687  0.1903  0.6615 (multiplicity 2)
La  0.4136  0.4915  0.2282 (multiplicity 2)
Pd  0.1900  0.7829  0.4975 (multiplicity 2)
Ru  0.3888  0.8736  0.9627 (multiplicity 2)



Stability summary - winner: (2); margin: 1.8 kJ/mol of atoms.